Record 1
Density functional theory data (PBE) for a geometry-optimized K2W structure.

Calculated values
The crystal system is orthorhombic.

Cell and atoms, written as POSCAR:
```
K2W
1.0
1.357 -10.609 0.000
1.357 10.609 0.000
0.000 0.000 6.246
K W
4 2
Direct
0.042 0.958 0.750
0.290 0.710 0.250
0.710 0.290 0.750
0.958 0.042 0.250
0.376 0.624 0.750
0.624 0.376 0.250
```

=====

Record 2
Density functional theory data (PBE) for a geometry-optimized K5W structure.

Calculated values
The crystal system is hexagonal.

Cell and atoms, written as POSCAR:
```
K5W
1.0
7.431 0.000 0.000
-3.715 6.435 0.000
0.000 0.000 6.620
K W
5 1
Direct
0.000 0.702 0.000
0.298 0.298 0.000
0.333 0.667 0.500
0.667 0.333 0.500
0.702 0.000 0.000
0.000 0.000 0.500
```

=====

Record 3
Density functional theory data (PBE) for a geometry-optimized K2W structure.

Calculated values
The crystal system is orthorhombic.

Cell and atoms, written as POSCAR:
```
K2W
1.0
7.704 0.000 0.000
0.000 6.033 0.000
0.000 0.000 11.342
K W
8 4
Direct
0.054 0.250 0.211
0.184 0.250 0.565
0.316 0.750 0.065
0.446 0.750 0.711
0.554 0.250 0.289
0.684 0.250 0.935
0.816 0.750 0.435
0.946 0.750 0.789
0.195 0.250 0.890
0.305 0.750 0.390
0.695 0.250 0.610
0.805 0.750 0.110
```

=====

Record 4
Density functional theory data (PBE) for a geometry-optimized K2W3 structure.

Calculated values
The crystal system is trigonal.

Cell and atoms, written as POSCAR:
```
K2W3
1.0
3.041 0.000 0.000
-1.520 2.634 0.000
0.000 0.000 14.530
K W
2 3
Direct
0.333 0.667 0.288
0.667 0.333 0.712
0.000 0.000 0.500
0.333 0.667 0.938
0.667 0.333 0.062
```

=====

Record 5
Density functional theory data (PBE) for a geometry-optimized KW3 structure.

Calculated values
The crystal system is orthorhombic.

Cell and atoms, written as POSCAR:
```
KW3
1.0
4.328 0.000 0.000
0.000 5.580 0.000
0.000 0.000 8.524
K W
2 6
Direct
0.250 0.250 0.071
0.750 0.750 0.929
0.250 0.004 0.596
0.250 0.496 0.596
0.250 0.750 0.328
0.750 0.250 0.672
0.750 0.504 0.404
0.750 0.996 0.404
```

=====

Record 6
Density functional theory data (PBE) for a geometry-optimized K2W structure.

Calculated values
The crystal system is cubic.

Cell and atoms, written as POSCAR:
```
K2W
1.0
0.000 4.309 4.309
4.309 0.000 4.309
4.309 4.309 0.000
K W
2 1
Direct
0.250 0.250 0.250
0.750 0.750 0.750
0.000 0.000 0.000
```

=====

Record 7
Density functional theory data (PBE) for a geometry-optimized K4W structure.

Calculated values
The crystal system is cubic.

Cell and atoms, written as POSCAR:
```
K4W
1.0
6.938 0.000 0.000
0.000 6.938 0.000
0.000 0.000 6.938
K W
4 1
Direct
0.000 0.000 0.000
0.000 0.500 0.500
0.500 0.000 0.500
0.500 0.500 0.000
0.500 0.500 0.500
```

=====

Record 8
Density functional theory data (PBE) for a geometry-optimized K2W structure.

Calculated values
The crystal system is orthorhombic.

Cell and atoms, written as POSCAR:
```
K2W
1.0
-1.406 3.041 5.456
1.406 -3.041 5.456
1.406 3.041 -5.456
K W
2 1
Direct
0.164 0.164 0.000
0.836 0.836 0.000
0.500 0.500 0.000
```

=====

Record 9
Density functional theory data (PBE) for a geometry-optimized KW3 structure.

Calculated values
The crystal system is cubic.

Cell and atoms, written as POSCAR:
```
KW3
1.0
0.000 3.305 3.305
3.305 0.000 3.305
3.305 3.305 0.000
K W
1 3
Direct
0.000 0.000 0.000
0.250 0.250 0.250
0.500 0.500 0.500
0.750 0.750 0.750
```

=====

Record 10
Density functional theory data (PBE) for a geometry-optimized K2W structure.

Calculated values
The crystal system is monoclinic.

Cell and atoms, written as POSCAR:
```
K2W
1.0
7.495 -1.684 0.000
7.495 1.684 0.000
-3.638 0.000 9.776
K W
4 2
Direct
0.040 0.040 0.197
0.331 0.331 0.341
0.669 0.669 0.659
0.960 0.960 0.803
0.302 0.302 0.986
0.698 0.698 0.014
```

=====

Record 11
Density functional theory data (PBE) for a geometry-optimized KW3 structure.

Calculated values
The crystal system is monoclinic.

Cell and atoms, written as POSCAR:
```
KW3
1.0
2.785 0.000 0.000
0.000 4.384 0.000
-0.472 0.000 7.754
K W
1 3
Direct
0.000 0.000 0.000
0.155 0.500 0.649
0.500 0.000 0.500
0.845 0.500 0.351
```

=====

Record 12
Density functional theory data (PBE) for a geometry-optimized KYW2 structure.

Calculated values
The crystal system is monoclinic.

Cell and atoms, written as POSCAR:
```
KYW2
1.0
5.387 -1.626 0.000
5.387 1.626 0.000
-0.589 0.000 7.357
K Y W
1 1 2
Direct
0.000 0.000 0.000
0.500 0.500 0.500
0.245 0.245 0.622
0.755 0.755 0.378
```

=====

Record 13
Density functional theory data (PBE) for a geometry-optimized KYW2 structure.

Calculated values
The crystal system is tetragonal.

Cell and atoms, written as POSCAR:
```
KYW2
1.0
2.825 0.000 0.000
0.000 2.825 0.000
0.000 0.000 11.157
K Y W
1 1 2
Direct
0.000 0.000 0.000
0.000 0.000 0.500
0.500 0.500 0.278
0.500 0.500 0.722
```

=====

Record 14
Density functional theory data (PBE) for a geometry-optimized K2YW structure.

Calculated values
The crystal system is tetragonal.

Cell and atoms, written as POSCAR:
```
K2YW
1.0
-2.189 2.189 13.336
2.189 -2.189 13.336
2.189 2.189 -13.336
K Y W
4 2 2
Direct
0.115 0.625 0.990
0.375 0.365 0.490
0.635 0.125 0.010
0.875 0.885 0.510
0.250 0.750 0.500
0.500 0.500 0.000
0.000 0.000 0.000
0.750 0.250 0.500
```

=====

| no. | formation energy (meV per atom) | DFT total energy (eV per atom) | density of states at the Fermi level (states/eV per cell) |
| --- | --- | --- | --- |
| 1 | 1722 | -3.328 | 6.00 |
| 2 | 1014 | -2.059 | 4.19 |
| 3 | 1990 | -3.059 | 7.02 |
| 4 | 1416 | -6.795 | 4.89 |
| 5 | 1166 | -8.823 | 7.55 |
| 6 | 2041 | -3.009 | 1.12 |
| 7 | 1246 | -2.223 | 2.97 |
| 8 | 1722 | -3.328 | 3.51 |
| 9 | 1741 | -8.248 | 3.11 |
| 10 | 1005 | -4.044 | 5.51 |
| 11 | 1017 | -8.972 | 2.93 |
| 12 | 1056 | -7.311 | 4.32 |
| 13 | 1159 | -7.208 | 2.64 |
| 14 | 1444 | -3.959 | 9.34 |